# 1
A relaxed structure of Li2YIr. Source: Alexandria via LeMat-Bulk, functional GGA-PBE.

Values from the calculation:
N(E_F), states/eV per atom: 0.319

Lattice parameters (Å, degrees): 3.2139 3.8957 5.5545 90.00 90.00 90.00
Closest atoms and distances in Å follow each position.
Space group Pmmm (No. 47)
Symmetry-distinct sites (fractional):
Li (0.0000, 0.0000, 0.1904) x2  1 Li 2.12
Y (0.5000, 0.5000, 0.5000) x1  2 Ir 2.78, 8 Li 3.06
Ir (0.5000, 0.5000, 0.0000) x1  8 Li 2.74, 2 Y 2.78



# 2
A relaxed structure of Li2YIr2. Source: Alexandria via LeMat-Bulk, functional GGA-PBE.

Values from the calculation:
N(E_F), states/eV per atom: 0.867

Lattice parameters (Å, degrees): 7.3251 7.3251 3.0078 90.00 90.00 90.00
Closest atoms and distances in Å follow each position.
Space group P4/mbm (No. 127)
Symmetry-distinct sites (fractional):
Li (0.1633, 0.3367, 0.0000) x4  6 Ir 2.62-2.65
Y (0.0000, 0.0000, 0.5000) x2  4 Ir 2.89, 2 Y 3.01, 8 Li 3.13
Ir (0.1265, 0.6265, 0.5000) x4  6 Li 2.62-2.65, 1 Ir 2.62, 2 Y 2.89



| no. | VASP energy (eV/atom) | energy relative to the lowest polymorph listed for this composition (eV per atom) | formation energy from the elements (eV/f.u.) |
| --- | --- | --- | --- |
| 1 | -4.852 | 0.236 | -0.26 |
| 2 | -5.663 | 0.150 | -0.30 |